1.
NaTaFe2Tc | GGA-PBE | relaxed Values from VASP.

Results
The energy relative to the elements is 1421 meV per atom. As for the density of states at the Fermi level: 7.10 states/eV per cell. The density comes out at 7.045 Mg/m³.

Quantum ESPRESSO input file:
```
&SYSTEM
  ibrav = 0, nat = 5, ntyp = 4
/
ATOMIC_SPECIES
Fe 55.84 Fe.upf
Na 22.99 Na.upf
Tc 98.00 Tc.upf
Ta 180.95 Ta.upf
CELL_PARAMETERS angstrom
-4.455 -0.769 0.223
0.787 -4.676 -0.396
0.283 -0.334 4.505
ATOMIC_POSITIONS angstrom
Fe 0.142 -0.167 2.253
Fe -2.228 -0.384 0.112
Na -1.692 -2.889 2.166
Tc 0.000 0.000 0.000
Ta 0.393 -2.338 -0.198
```

***

2.
NaTbFe | GGA-PBE | relaxed Values from VASP.

Results
The energy relative to the elements is -20 meV per atom. As for the density of states at the Fermi level: 5.82 states/eV per cell. The density comes out at 4.628 Mg/m³.

Quantum ESPRESSO input file:
```
&SYSTEM
  ibrav = 0, nat = 6, ntyp = 3
/
ATOMIC_SPECIES
Na 22.99 Na.upf
Tb 158.93 Tb.upf
Fe 55.84 Fe.upf
CELL_PARAMETERS angstrom
3.906 0.000 -0.001
1.953 3.383 0.000
0.001 0.000 12.913
ATOMIC_POSITIONS angstrom
Na 4.368 3.314 8.707
Na 4.367 1.061 11.710
Tb 2.415 2.180 5.589
Tb 2.414 2.181 1.922
Fe 4.368 3.308 3.769
Fe 4.368 1.053 3.742
```

***

3.
NaTb2Fe | GGA-PBE | relaxed Values from VASP.

Results
The energy relative to the elements is 260 meV per atom. The calculation puts the energy above the most stable polymorph in this dataset at 169 meV/atom. As for the density of states at the Fermi level: 3.36 states/eV per cell. The density comes out at 5.240 Mg/m³.

Quantum ESPRESSO input file:
```
&SYSTEM
  ibrav = 0, nat = 4, ntyp = 3
/
ATOMIC_SPECIES
Na 22.99 Na.upf
Tb 158.93 Tb.upf
Fe 55.84 Fe.upf
CELL_PARAMETERS angstrom
3.732 0.000 0.000
1.866 3.232 0.000
1.866 1.077 10.422
ATOMIC_POSITIONS angstrom
Na 0.000 0.000 0.000
Tb 1.866 1.077 6.773
Tb 5.598 3.232 3.649
Fe 3.732 2.155 5.211
```

***

4.
NaTb2Fe | GGA-PBE | relaxed Values from VASP.

Results
The energy relative to the elements is 91 meV per atom. The calculation puts the energy above the most stable polymorph in this dataset at 0 meV/atom. As for the density of states at the Fermi level: 2.44 states/eV per cell. The density comes out at 6.260 Mg/m³.

Quantum ESPRESSO input file:
```
&SYSTEM
  ibrav = 0, nat = 4, ntyp = 3
/
ATOMIC_SPECIES
Na 22.99 Na.upf
Tb 158.93 Tb.upf
Fe 55.84 Fe.upf
CELL_PARAMETERS angstrom
-2.200 -2.393 0.827
2.347 -2.339 -0.522
2.648 0.659 8.947
ATOMIC_POSITIONS angstrom
Na 1.398 -2.036 4.626
Tb 2.194 0.546 7.413
Tb 0.454 0.113 1.534
Fe 0.073 -2.366 0.152
```